1.
# KSn5Se6 PBE optimized geometry
# Energy relative to the elements, uncorrected = -0.532 eV per atom
# Crystal system = monoclinic
# Space group = No. 12
# Density = 5.4 g/cm3
data_KSn5Se6
_symmetry_space_group_name_H-M 'P 1'
_symmetry_Int_Tables_number 1
_cell_length_a 7.413
_cell_length_b 7.413
_cell_length_c 7.448
_cell_angle_alpha 99.42
_cell_angle_beta 99.42
_cell_angle_gamma 118.96
loop_
_symmetry_equiv_pos_as_xyz
'x,y,z'
loop_
_atom_site_label
_atom_site_type_symbol
_atom_site_fract_x
_atom_site_fract_y
_atom_site_fract_z
_atom_site_occupancy
K1 K 0.000 0.000 0.000 1
Sn1 Sn 0.168 0.832 0.500 1
Sn2 Sn 0.338 0.662 0.000 1
Sn3 Sn 0.500 0.500 0.500 1
Sn4 Sn 0.662 0.338 0.000 1
Sn5 Sn 0.832 0.168 0.500 1
Se1 Se 0.092 0.442 0.264 1
Se2 Se 0.277 0.277 0.758 1
Se3 Se 0.442 0.092 0.264 1
Se4 Se 0.558 0.908 0.736 1
Se5 Se 0.723 0.723 0.242 1
Se6 Se 0.908 0.558 0.736 1

=====

2.
# K4Sn3Se8 PBE optimized geometry
# Energy relative to the elements, uncorrected = -0.800 eV per atom
# Crystal system = orthorhombic
# Space group = No. 68
# Density = 3.8 g/cm3
data_K4Sn3Se8
_symmetry_space_group_name_H-M 'P 1'
_symmetry_Int_Tables_number 1
_cell_length_a 14.715
_cell_length_b 14.715
_cell_length_c 8.388
_cell_angle_alpha 90.00
_cell_angle_beta 90.00
_cell_angle_gamma 146.73
loop_
_symmetry_equiv_pos_as_xyz
'x,y,z'
loop_
_atom_site_label
_atom_site_type_symbol
_atom_site_fract_x
_atom_site_fract_y
_atom_site_fract_z
_atom_site_occupancy
K1 K 0.017 0.983 0.750 1
K2 K 0.147 0.853 0.750 1
K3 K 0.353 0.647 0.750 1
K4 K 0.483 0.517 0.750 1
K5 K 0.517 0.483 0.250 1
K6 K 0.647 0.353 0.250 1
K7 K 0.853 0.147 0.250 1
K8 K 0.983 0.017 0.250 1
Sn1 Sn 0.124 0.876 0.250 1
Sn2 Sn 0.250 0.750 0.250 1
Sn3 Sn 0.376 0.624 0.250 1
Sn4 Sn 0.624 0.376 0.750 1
Sn5 Sn 0.750 0.250 0.750 1
Sn6 Sn 0.876 0.124 0.750 1
Se1 Se 0.027 0.649 0.412 1
Se2 Se 0.103 0.257 0.931 1
Se3 Se 0.149 0.527 0.088 1
Se4 Se 0.243 0.397 0.431 1
Se5 Se 0.257 0.103 0.431 1
Se6 Se 0.351 0.973 0.088 1
Se7 Se 0.397 0.243 0.931 1
Se8 Se 0.473 0.851 0.412 1
Se9 Se 0.527 0.149 0.588 1
Se10 Se 0.603 0.757 0.069 1
Se11 Se 0.649 0.027 0.912 1
Se12 Se 0.743 0.897 0.569 1
Se13 Se 0.757 0.603 0.569 1
Se14 Se 0.851 0.473 0.912 1
Se15 Se 0.897 0.743 0.069 1
Se16 Se 0.973 0.351 0.588 1

=====

3.
# KSn6Se8 PBE optimized geometry
# Energy relative to the elements, uncorrected = -0.470 eV per atom
# Crystal system = trigonal
# Space group = No. 147
# Density = 5.1 g/cm3
data_KSn6Se8
_symmetry_space_group_name_H-M 'P 1'
_symmetry_Int_Tables_number 1
_cell_length_a 11.000
_cell_length_b 11.000
_cell_length_c 4.259
_cell_angle_alpha 90.00
_cell_angle_beta 90.00
_cell_angle_gamma 120.00
loop_
_symmetry_equiv_pos_as_xyz
'x,y,z'
loop_
_atom_site_label
_atom_site_type_symbol
_atom_site_fract_x
_atom_site_fract_y
_atom_site_fract_z
_atom_site_occupancy
K1 K 0.000 0.000 0.000 1
Sn1 Sn 0.139 0.665 0.250 1
Sn2 Sn 0.335 0.473 0.250 1
Sn3 Sn 0.473 0.139 0.750 1
Sn4 Sn 0.527 0.861 0.250 1
Sn5 Sn 0.665 0.527 0.750 1
Sn6 Sn 0.861 0.335 0.750 1
Se1 Se 0.033 0.339 0.250 1
Se2 Se 0.306 0.967 0.250 1
Se3 Se 0.333 0.667 0.751 1
Se4 Se 0.339 0.306 0.750 1
Se5 Se 0.661 0.694 0.250 1
Se6 Se 0.667 0.333 0.249 1
Se7 Se 0.694 0.033 0.750 1
Se8 Se 0.967 0.661 0.750 1

=====

4.
# KSn4Se5 PBE optimized geometry
# Energy relative to the elements, uncorrected = -0.553 eV per atom
# Crystal system = monoclinic
# Space group = No. 12
# Density = 5.3 g/cm3
data_KSn4Se5
_symmetry_space_group_name_H-M 'P 1'
_symmetry_Int_Tables_number 1
_cell_length_a 7.450
_cell_length_b 7.450
_cell_length_c 10.738
_cell_angle_alpha 118.71
_cell_angle_beta 118.71
_cell_angle_gamma 33.35
loop_
_symmetry_equiv_pos_as_xyz
'x,y,z'
loop_
_atom_site_label
_atom_site_type_symbol
_atom_site_fract_x
_atom_site_fract_y
_atom_site_fract_z
_atom_site_occupancy
K1 K 0.000 0.000 0.000 1
Sn1 Sn 0.203 0.203 0.801 1
Sn2 Sn 0.399 0.399 0.597 1
Sn3 Sn 0.601 0.601 0.403 1
Sn4 Sn 0.797 0.797 0.199 1
Se1 Se 0.000 0.000 0.500 1
Se2 Se 0.202 0.202 0.319 1
Se3 Se 0.388 0.388 0.113 1
Se4 Se 0.612 0.612 0.887 1
Se5 Se 0.798 0.798 0.681 1

=====

5.
# KSn2Se2 PBE optimized geometry
# Energy relative to the elements, uncorrected = -0.518 eV per atom
# Crystal system = tetragonal
# Space group = No. 139
# Density = 4.5 g/cm3
data_KSn2Se2
_symmetry_space_group_name_H-M 'P 1'
_symmetry_Int_Tables_number 1
_cell_length_a 5.556
_cell_length_b 5.556
_cell_length_c 10.411
_cell_angle_alpha 90.00
_cell_angle_beta 90.00
_cell_angle_gamma 90.00
loop_
_symmetry_equiv_pos_as_xyz
'x,y,z'
loop_
_atom_site_label
_atom_site_type_symbol
_atom_site_fract_x
_atom_site_fract_y
_atom_site_fract_z
_atom_site_occupancy
K1 K 0.000 0.000 0.000 1
K2 K 0.500 0.500 0.500 1
Sn1 Sn 0.000 0.000 0.345 1
Sn2 Sn 0.000 0.000 0.655 1
Sn3 Sn 0.500 0.500 0.155 1
Sn4 Sn 0.500 0.500 0.845 1
Se1 Se 0.000 0.500 0.250 1
Se2 Se 0.000 0.500 0.750 1
Se3 Se 0.500 0.000 0.250 1
Se4 Se 0.500 0.000 0.750 1

=====

6.
# K2SnSe2 PBE optimized geometry
# Energy relative to the elements, uncorrected = -0.802 eV per atom
# Crystal system = orthorhombic
# Space group = No. 62
# Density = 3.0 g/cm3
data_K2SnSe2
_symmetry_space_group_name_H-M 'P 1'
_symmetry_Int_Tables_number 1
_cell_length_a 12.239
_cell_length_b 6.670
_cell_length_c 9.723
_cell_angle_alpha 90.00
_cell_angle_beta 90.00
_cell_angle_gamma 90.00
loop_
_symmetry_equiv_pos_as_xyz
'x,y,z'
loop_
_atom_site_label
_atom_site_type_symbol
_atom_site_fract_x
_atom_site_fract_y
_atom_site_fract_z
_atom_site_occupancy
K1 K 0.053 0.250 0.134 1
K2 K 0.099 0.250 0.585 1
K3 K 0.401 0.750 0.085 1
K4 K 0.447 0.750 0.634 1
K5 K 0.553 0.250 0.366 1
K6 K 0.599 0.250 0.915 1
K7 K 0.901 0.750 0.415 1
K8 K 0.947 0.750 0.866 1
Sn1 Sn 0.228 0.750 0.370 1
Sn2 Sn 0.272 0.250 0.870 1
Sn3 Sn 0.728 0.750 0.130 1
Sn4 Sn 0.772 0.250 0.630 1
Se1 Se 0.089 0.750 0.172 1
Se2 Se 0.127 0.750 0.602 1
Se3 Se 0.373 0.250 0.102 1
Se4 Se 0.411 0.250 0.672 1
Se5 Se 0.589 0.750 0.328 1
Se6 Se 0.627 0.750 0.898 1
Se7 Se 0.873 0.250 0.398 1
Se8 Se 0.911 0.250 0.828 1

=====

7.
# KSn2Se3 PBE optimized geometry
# Energy relative to the elements, uncorrected = -0.547 eV per atom
# Crystal system = orthorhombic
# Space group = No. 63
# Density = 4.6 g/cm3
data_KSn2Se3
_symmetry_space_group_name_H-M 'P 1'
_symmetry_Int_Tables_number 1
_cell_length_a 7.618
_cell_length_b 7.618
_cell_length_c 7.394
_cell_angle_alpha 90.00
_cell_angle_beta 90.00
_cell_angle_gamma 60.21
loop_
_symmetry_equiv_pos_as_xyz
'x,y,z'
loop_
_atom_site_label
_atom_site_type_symbol
_atom_site_fract_x
_atom_site_fract_y
_atom_site_fract_z
_atom_site_occupancy
K1 K 0.004 0.996 0.750 1
K2 K 0.996 0.004 0.250 1
Sn1 Sn 0.333 0.333 0.000 1
Sn2 Sn 0.333 0.333 0.500 1
Sn3 Sn 0.667 0.667 0.000 1
Sn4 Sn 0.667 0.667 0.500 1
Se1 Se 0.000 0.415 0.750 1
Se2 Se 0.000 0.585 0.250 1
Se3 Se 0.415 0.000 0.250 1
Se4 Se 0.418 0.582 0.750 1
Se5 Se 0.582 0.418 0.250 1
Se6 Se 0.585 0.000 0.750 1

=====

8.
# KSnSe3 PBE optimized geometry
# Energy relative to the elements, uncorrected = -0.322 eV per atom
# Crystal system = cubic
# Space group = No. 221
# Density = 4.2 g/cm3
data_KSnSe3
_symmetry_space_group_name_H-M 'P 1'
_symmetry_Int_Tables_number 1
_cell_length_a 5.398
_cell_length_b 5.398
_cell_length_c 5.398
_cell_angle_alpha 90.00
_cell_angle_beta 90.00
_cell_angle_gamma 90.00
loop_
_symmetry_equiv_pos_as_xyz
'x,y,z'
loop_
_atom_site_label
_atom_site_type_symbol
_atom_site_fract_x
_atom_site_fract_y
_atom_site_fract_z
_atom_site_occupancy
K1 K 0.000 0.000 0.000 1
Sn1 Sn 0.500 0.500 0.500 1
Se1 Se 0.000 0.500 0.500 1
Se2 Se 0.500 0.000 0.500 1
Se3 Se 0.500 0.500 0.000 1

=====

9.
# K2SnSe2 PBE optimized geometry
# Energy relative to the elements, uncorrected = -0.303 eV per atom
# Crystal system = tetragonal
# Space group = No. 139
# Density = 3.6 g/cm3
data_K2SnSe2
_symmetry_space_group_name_H-M 'P 1'
_symmetry_Int_Tables_number 1
_cell_length_a 3.910
_cell_length_b 3.910
_cell_length_c 21.705
_cell_angle_alpha 90.00
_cell_angle_beta 90.00
_cell_angle_gamma 90.00
loop_
_symmetry_equiv_pos_as_xyz
'x,y,z'
loop_
_atom_site_label
_atom_site_type_symbol
_atom_site_fract_x
_atom_site_fract_y
_atom_site_fract_z
_atom_site_occupancy
K1 K 0.000 0.000 0.124 1
K2 K 0.000 0.000 0.876 1
K3 K 0.500 0.500 0.376 1
K4 K 0.500 0.500 0.624 1
Sn1 Sn 0.000 0.000 0.500 1
Sn2 Sn 0.500 0.500 0.000 1
Se1 Se 0.000 0.500 0.250 1
Se2 Se 0.000 0.500 0.750 1
Se3 Se 0.500 0.000 0.250 1
Se4 Se 0.500 0.000 0.750 1

=====

10.
# KSn3Se3 PBE optimized geometry
# Energy relative to the elements, uncorrected = -0.535 eV per atom
# Crystal system = trigonal
# Space group = No. 148
# Density = 4.4 g/cm3
data_KSn3Se3
_symmetry_space_group_name_H-M 'P 1'
_symmetry_Int_Tables_number 1
_cell_length_a 11.263
_cell_length_b 11.263
_cell_length_c 11.263
_cell_angle_alpha 37.40
_cell_angle_beta 37.40
_cell_angle_gamma 37.40
loop_
_symmetry_equiv_pos_as_xyz
'x,y,z'
loop_
_atom_site_label
_atom_site_type_symbol
_atom_site_fract_x
_atom_site_fract_y
_atom_site_fract_z
_atom_site_occupancy
K1 K 0.168 0.168 0.168 1
K2 K 0.832 0.832 0.832 1
Sn1 Sn 0.043 0.742 0.343 1
Sn2 Sn 0.258 0.657 0.957 1
Sn3 Sn 0.343 0.043 0.742 1
Sn4 Sn 0.657 0.957 0.258 1
Sn5 Sn 0.742 0.343 0.043 1
Sn6 Sn 0.957 0.258 0.657 1
Se1 Se 0.090 0.416 0.769 1
Se2 Se 0.231 0.910 0.584 1
Se3 Se 0.416 0.769 0.090 1
Se4 Se 0.584 0.231 0.910 1
Se5 Se 0.769 0.090 0.416 1
Se6 Se 0.910 0.584 0.231 1

=====

11.
# KSrSn2Se PBE optimized geometry
# Energy relative to the elements, uncorrected = -0.283 eV per atom
# Crystal system = tetragonal
# Space group = No. 123
# Density = 3.8 g/cm3
data_KSrSn2Se
_symmetry_space_group_name_H-M 'P 1'
_symmetry_Int_Tables_number 1
_cell_length_a 5.810
_cell_length_b 5.810
_cell_length_c 5.723
_cell_angle_alpha 90.00
_cell_angle_beta 90.00
_cell_angle_gamma 90.00
loop_
_symmetry_equiv_pos_as_xyz
'x,y,z'
loop_
_atom_site_label
_atom_site_type_symbol
_atom_site_fract_x
_atom_site_fract_y
_atom_site_fract_z
_atom_site_occupancy
K1 K 0.000 0.000 0.000 1
Sr1 Sr 0.500 0.500 0.000 1
Sn1 Sn 0.000 0.500 0.500 1
Sn2 Sn 0.500 0.000 0.500 1
Se1 Se 0.500 0.500 0.500 1

=====

12.
# K4Tb3SnSe8 PBE optimized geometry
# Energy relative to the elements, uncorrected = -1.503 eV per atom
# Crystal system = trigonal
# Space group = No. 166
# Density = 4.8 g/cm3
data_K4Tb3SnSe8
_symmetry_space_group_name_H-M 'P 1'
_symmetry_Int_Tables_number 1
_cell_length_a 9.105
_cell_length_b 9.105
_cell_length_c 9.105
_cell_angle_alpha 55.44
_cell_angle_beta 55.44
_cell_angle_gamma 55.44
loop_
_symmetry_equiv_pos_as_xyz
'x,y,z'
loop_
_atom_site_label
_atom_site_type_symbol
_atom_site_fract_x
_atom_site_fract_y
_atom_site_fract_z
_atom_site_occupancy
K1 K 0.000 0.000 0.000 1
K2 K 0.000 0.500 0.500 1
K3 K 0.500 0.000 0.500 1
K4 K 0.500 0.500 0.000 1
Tb1 Tb 0.000 0.000 0.500 1
Tb2 Tb 0.000 0.500 0.000 1
Tb3 Tb 0.500 0.000 0.000 1
Sn1 Sn 0.500 0.500 0.500 1
Se1 Se 0.235 0.735 0.735 1
Se2 Se 0.236 0.236 0.236 1
Se3 Se 0.265 0.265 0.765 1
Se4 Se 0.265 0.765 0.265 1
Se5 Se 0.735 0.235 0.735 1
Se6 Se 0.735 0.735 0.235 1
Se7 Se 0.764 0.764 0.764 1
Se8 Se 0.765 0.265 0.265 1

=====

What is the energy relative to the elements, uncorrected in the seventh record? -0.547 eV per atom